MgInSnBi after structural relaxation, computed with PBE.

The calculation puts the magnetization at 0.00 Bohr magnetons per cell. For the energy of formation from the pure elements, the calculation gives -0.045 eV per atom. Its density of states at the Fermi level is 0.479 states/eV per atom. Its volume is 109.3 Å³ per cell. The offset from the most stable computed form is 0.0 meV per atom. As for the total energy: -3.10 eV per atom. The space group is P4mm, No. 99. Its crystal system is tetragonal.

a b c (Å): 3.4986 3.4986 8.9271
angles (deg): 90.00 90.00 90.00
Sites, in units of the cell vectors:
Mg1 0.0000 0.0000 0.0000
In1 0.0000 0.0000 0.4782
Sn1 0.5000 0.5000 0.2182
Bi1 0.5000 0.5000 0.7639